VASP calculation (GGA-PBE) on ZnPd17 after structural relaxation.

POSCAR file:
```
ZnPd17
1.0
-2.6576 1.3464 3.7622
2.6352 -3.6806 3.1787
22.9701 23.2671 7.8981
Pd Zn
34 2
Direct
0.6687 0.2500 0.2266
0.1663 0.5006 0.2266
0.1663 0.9994 0.2266
0.9974 0.7500 0.2946
0.5001 0.5005 0.2948
0.5001 0.9995 0.2948
0.0008 0.2500 0.2956
0.3336 0.7500 0.3632
0.8332 0.5002 0.3633
0.8332 0.9998 0.3633
0.3338 0.2500 0.3638
0.6670 0.7500 0.4317
0.6667 0.2500 0.4318
0.1666 0.5002 0.4318
0.1666 0.9998 0.4318
0.0000 0.7500 0.5000
0.5000 0.0000 0.5000
0.5000 0.5000 0.5000
0.0000 0.2500 0.5000
0.8334 0.0002 0.5682
0.8334 0.4998 0.5682
0.3333 0.7500 0.5682
0.3330 0.2500 0.5683
0.6662 0.7500 0.6362
0.1668 0.0002 0.6367
0.1668 0.4998 0.6367
0.6664 0.2500 0.6368
0.9992 0.7500 0.7044
0.4999 0.0005 0.7052
0.4999 0.4995 0.7052
0.0026 0.2500 0.7054
0.8337 0.0006 0.7734
0.8337 0.4994 0.7734
0.3313 0.7500 0.7734
0.6657 0.7500 0.2293
0.3343 0.2500 0.7707
```

SG	No. 11


VASP calculation (GGA-PBE) on ZnPd after structural relaxation.

POSCAR file:
```
ZnPd
1.0
-1.4169 4.0487 -2.0598
-6.8983 1.9028 8.4853
3.2608 2.2349 2.1498
Pd Zn
8 8
Direct
0.0050 0.0064 0.0000
0.0050 0.4936 0.0000
0.5156 0.6300 0.0000
0.5156 0.8700 0.0000
0.8177 0.1300 0.5000
0.8177 0.3700 0.5000
0.3283 0.5064 0.5000
0.3283 0.9936 0.5000
0.5018 0.1115 0.0000
0.9876 0.2500 0.0000
0.5018 0.3885 0.0000
0.0109 0.7500 0.0000
0.3224 0.2500 0.5000
0.8315 0.6115 0.5000
0.3458 0.7500 0.5000
0.8315 0.8885 0.5000
```

SG	No. 59


VASP calculation (GGA-PBE) on Zn2Pd after structural relaxation.

POSCAR file:
```
Zn2Pd
1.0
-0.7874 -3.6563 -2.7997
8.1653 -1.0238 -0.9595
0.0746 -2.7464 3.5657
Pd Zn
4 8
Direct
0.0225 0.0012 0.0000
0.0225 0.6655 0.0000
0.8108 0.1655 0.5000
0.8108 0.5012 0.5000
0.5094 0.1652 0.0000
0.9938 0.3333 0.0000
0.5094 0.5015 0.0000
0.5189 0.8333 0.0000
0.3239 0.0015 0.5000
0.3144 0.3333 0.5000
0.3239 0.6652 0.5000
0.8395 0.8333 0.5000
```

SG	No. 59


We obtain DFT formation energy values of 37, -384, -360 meV/atom for the records listed above, in that order.